No. 1
{
  "formula": "PaTlAgTe3",
  "functional": "PBE",
  "state": "optimized geometry",
  "mass_density_g_cm3": 7.92,
  "e_tot_ev_per_cell": -55.1,
  "crystal_system": "orthorhombic",
  "cell": [[-0.230, 7.743, 2.313], [-2.305, -7.650, 1.237], [9.183, -1.700, 6.604]],
  "species": ["Ag", "Ag", "Pa", "Pa", "Te", "Te", "Te", "Te", "Te", "Te", "Tl", "Tl"],
  "fractional_positions": [[0.539, 0.461, 0.250], [0.461, 0.539, 0.750], [0.000, 0.000, 0.000], [0.000, 0.000, 0.500], [0.637, 0.363, 0.046], [0.923, 0.077, 0.250], [0.637, 0.363, 0.454], [0.363, 0.637, 0.546], [0.077, 0.923, 0.750], [0.363, 0.637, 0.954], [0.239, 0.761, 0.250], [0.761, 0.239, 0.750]]
}

No. 2
{
  "formula": "TmCoC",
  "functional": "PBE",
  "state": "optimized geometry",
  "mass_density_g_cm3": 9.14,
  "e_tot_ev_per_cell": -43.7,
  "crystal_system": "tetragonal",
  "cell": [[-2.843, 2.023, -0.868], [-1.110, -0.093, 3.418], [3.567, 5.575, 1.309]],
  "species": ["C", "C", "Co", "Co", "Tm", "Tm"],
  "fractional_positions": [[0.000, 0.500, 0.000], [0.500, 0.000, 0.500], [0.500, 0.500, 0.000], [0.500, 0.500, 0.500], [0.000, 0.000, 0.250], [0.000, 0.000, 0.750]]
}

No. 3
{
  "formula": "Sr2ZrTa",
  "functional": "PBE",
  "state": "optimized geometry",
  "mass_density_g_cm3": 6.48,
  "e_tot_ev_per_cell": -20.0,
  "crystal_system": "cubic",
  "cell": [[2.927, -1.271, 4.422], [-1.130, -4.537, 2.807], [3.451, -4.220, -0.135]],
  "species": ["Sr", "Sr", "Ta", "Zr"],
  "fractional_positions": [[0.000, 0.000, 0.000], [0.750, 0.750, 0.750], [0.500, 0.500, 0.500], [0.250, 0.250, 0.250]]
}

No. 4
{
  "formula": "Sc2GaOs",
  "functional": "PBE",
  "state": "optimized geometry",
  "mass_density_g_cm3": 8.59,
  "e_tot_ev_per_cell": -28.3,
  "crystal_system": "cubic",
  "cell": [[0.000, 3.234, 3.234], [3.234, 0.000, 3.234], [3.234, 3.234, 0.000]],
  "species": ["Ga", "Os", "Sc", "Sc"],
  "fractional_positions": [[0.500, 0.500, 0.500], [0.250, 0.250, 0.250], [0.000, 0.000, 0.000], [0.750, 0.750, 0.750]]
}

No. 5
{
  "formula": "HoTm2Ga3AgPt2",
  "functional": "PBE",
  "state": "optimized geometry",
  "mass_density_g_cm3": 11.27,
  "e_tot_ev_per_cell": -45.6,
  "crystal_system": "orthorhombic",
  "cell": [[-3.319, -1.517, -0.390], [2.047, -5.636, 4.491], [-3.151, 6.150, 2.893]],
  "species": ["Ag", "Ga", "Ga", "Ga", "Ho", "Pt", "Pt", "Tm", "Tm"],
  "fractional_positions": [[0.000, 0.999, 0.999], [0.500, 0.999, 0.272], [0.500, 0.728, 0.728], [0.500, 0.272, 0.999], [0.000, 0.408, 0.408], [0.500, 0.668, 0.333], [0.500, 0.333, 0.668], [0.000, 0.593, 0.000], [0.000, 0.000, 0.593]]
}

No. 6
{
  "formula": "ErAl5Ag7",
  "functional": "PBE",
  "state": "optimized geometry",
  "mass_density_g_cm3": 7.67,
  "e_tot_ev_per_cell": -45.6,
  "crystal_system": "orthorhombic",
  "cell": [[-2.687, 4.648, 4.583], [2.687, -4.648, 4.583], [2.687, 4.648, -4.583]],
  "species": ["Ag", "Ag", "Ag", "Ag", "Ag", "Ag", "Ag", "Al", "Al", "Al", "Al", "Al", "Er"],
  "fractional_positions": [[0.346, 0.346, 0.000], [0.668, 0.668, 0.000], [0.789, 0.493, 0.296], [0.347, 0.005, 0.343], [0.222, 0.722, 0.500], [0.662, 0.005, 0.657], [0.197, 0.493, 0.704], [0.002, 0.499, 0.006], [0.493, 0.499, 0.497], [0.777, 0.277, 0.500], [0.002, 0.996, 0.503], [0.493, 0.996, 0.994], [0.001, 0.001, 0.000]]
}

No. 7
{
  "formula": "Tm2HfN3",
  "functional": "PBE",
  "state": "optimized geometry",
  "mass_density_g_cm3": 12.03,
  "e_tot_ev_per_cell": -55.0,
  "crystal_system": "trigonal",
  "cell": [[3.303, 0.000, 0.000], [-1.651, 2.860, 0.000], [0.000, 0.000, 8.157]],
  "species": ["Hf", "N", "N", "N", "Tm", "Tm"],
  "fractional_positions": [[0.000, 0.000, 0.500], [0.000, 0.000, 0.000], [0.333, 0.667, 0.348], [0.667, 0.333, 0.652], [0.667, 0.333, 0.168], [0.333, 0.667, 0.832]]
}

No. 8
{
  "formula": "TmNp",
  "functional": "PBE",
  "state": "optimized geometry",
  "mass_density_g_cm3": 13.48,
  "ef_ev_per_atom": 1.45,
  "crystal_system": "cubic",
  "cell": [[0.033, -4.066, -0.752], [1.258, -2.635, 2.929], [-2.737, -2.471, 1.873]],
  "species": ["Np", "Tm"],
  "fractional_positions": [[0.000, 0.000, 0.000], [0.500, 0.500, 0.500]]
}

No. 9
{
  "formula": "SrLiErSe3",
  "functional": "PBE",
  "state": "optimized geometry",
  "mass_density_g_cm3": 5.38,
  "e_tot_ev_per_cell": -117.1,
  "crystal_system": "orthorhombic",
  "cell": [[-4.383, -3.299, -12.670], [1.703, -3.752, 0.388], [-9.205, -3.748, 4.160]],
  "species": ["Er", "Er", "Er", "Er", "Li", "Li", "Li", "Li", "Se", "Se", "Se", "Se", "Se", "Se", "Se", "Se", "Se", "Se", "Se", "Se", "Sr", "Sr", "Sr", "Sr"],
  "fractional_positions": [[0.017, 0.750, 0.167], [0.517, 0.750, 0.333], [0.483, 0.250, 0.667], [0.983, 0.250, 0.833], [0.506, 0.250, 0.090], [0.006, 0.250, 0.410], [0.994, 0.750, 0.590], [0.494, 0.750, 0.910], [0.894, 0.250, 0.069], [0.402, 0.750, 0.114], [0.642, 0.250, 0.249], [0.142, 0.250, 0.251], [0.902, 0.750, 0.386], [0.394, 0.250, 0.431], [0.606, 0.750, 0.569], [0.098, 0.250, 0.614], [0.858, 0.750, 0.749], [0.358, 0.750, 0.751], [0.598, 0.250, 0.886], [0.106, 0.750, 0.931], [0.727, 0.750, 0.033], [0.227, 0.750, 0.467], [0.773, 0.250, 0.533], [0.273, 0.250, 0.967]]
}

No. 10
{
  "formula": "NaGdSc",
  "functional": "PBE",
  "state": "optimized geometry",
  "mass_density_g_cm3": 3.84,
  "e_tot_ev_per_cell": -9.6,
  "crystal_system": "cubic",
  "cell": [[0.000, 3.652, 3.652], [3.652, 0.000, 3.652], [3.652, 3.652, 0.000]],
  "species": ["Gd", "Na", "Sc"],
  "fractional_positions": [[0.250, 0.250, 0.250], [0.000, 0.000, 0.000], [0.750, 0.750, 0.750]]
}

No. 11
{
  "formula": "NiSnB",
  "functional": "PBE",
  "state": "optimized geometry",
  "mass_density_g_cm3": 7.76,
  "e_tot_ev_per_cell": -15.1,
  "crystal_system": "cubic",
  "cell": [[3.839, 0.195, 0.183], [1.688, 2.620, 2.257], [1.832, -1.108, 3.197]],
  "species": ["B", "Ni", "Sn"],
  "fractional_positions": [[0.000, 0.000, 0.000], [0.250, 0.250, 0.250], [0.750, 0.750, 0.750]]
}

No. 12
{
  "formula": "NaTaB4",
  "functional": "PBE",
  "state": "optimized geometry",
  "mass_density_g_cm3": 6.64,
  "e_tot_ev_per_cell": -42.1,
  "crystal_system": "hexagonal",
  "cell": [[-0.112, 1.412, -2.700], [-2.452, -0.021, 1.812], [2.388, 6.511, 3.307]],
  "species": ["B", "B", "B", "B", "Na", "Ta"],
  "fractional_positions": [[0.667, 0.333, 0.283], [0.333, 0.667, 0.283], [0.667, 0.333, 0.717], [0.333, 0.667, 0.717], [0.000, 0.000, 0.000], [0.000, 0.000, 0.500]]
}